## InB6N6 (PBE)

Data for crystalline InB6N6 at its relaxed geometry.

The calculation puts the calculated density at 4.32 g cm⁻³. The energy relative to the elements, uncorrected comes out at -0.120 eV/atom. The electronic total energy comes out at -7.255 eV per atom. The calculation puts the spin magnetization at 0.0000 μB/atom. The value obtained for the density of states at the Fermi level is 2.3 states/eV per cell.

```
InB6N6
1.0
4.6640 0.0000 0.0000
0.0000 4.6640 0.0000
0.0000 0.0000 4.6640
In B N
1 6 6
direct
0.0000 0.0000 0.0000
0.0000 0.2482 0.5000
0.0000 0.7518 0.5000
0.2482 0.5000 0.0000
0.5000 0.0000 0.2482
0.5000 0.0000 0.7518
0.7518 0.5000 0.0000
0.0000 0.5000 0.2554
0.0000 0.5000 0.7446
0.2554 0.0000 0.5000
0.5000 0.2554 0.0000
0.5000 0.7446 0.0000
0.7446 0.0000 0.5000
```